Entry 1:
VASP calculation (PBE-GGA) on crystalline LiCaNb at its relaxed geometry. Values from VASP.

Cell and atoms, written as Quantum ESPRESSO input:
```
&SYSTEM
  ibrav = 0, nat = 6, ntyp = 3
/
ATOMIC_SPECIES
Ca 40.08 Ca.upf
Nb 92.91 Nb.upf
Li 6.94 Li.upf
CELL_PARAMETERS angstrom
-4.7461 1.0501 4.2991
-1.3129 -3.0308 0.6018
1.7011 -1.0901 7.5791
ATOMIC_POSITIONS angstrom
Ca -0.2826 -1.9285 8.7856
Ca -3.5062 -0.8583 7.1459
Nb -0.3709 -0.6442 5.6896
Nb -1.8960 -2.1226 4.3024
Li -3.5385 0.4239 4.1770
Li -3.4743 -2.1410 10.1152
```

## Properties
Total moment = 0.00 μB/f.u.
E_form = 0.36 eV/atom
Volume = 24.3 A^3/atom

***

Entry 2:
VASP calculation (PBE-GGA) on crystalline LiCaNb2 at its relaxed geometry. Values from VASP.

Cell and atoms, written as Quantum ESPRESSO input:
```
&SYSTEM
  ibrav = 0, nat = 4, ntyp = 3
/
ATOMIC_SPECIES
Li 6.94 Li.upf
Nb 92.91 Nb.upf
Ca 40.08 Ca.upf
CELL_PARAMETERS angstrom
-1.8797 -0.9825 4.3385
-4.1373 2.0823 1.3667
-4.0316 -2.6361 0.3439
ATOMIC_POSITIONS angstrom
Li 0.0000 0.0000 0.0000
Nb -2.5121 -0.3841 1.5123
Nb -7.5364 -1.1522 4.5368
Ca -5.0243 -0.7681 3.0246
```

## Properties
Total moment = 0.00 μB/f.u.
E_form = 1.05 eV/atom
Volume = 19.9 A^3/atom